Sr3LaHg after structural relaxation. Source: Alexandria via LeMat-Bulk, functional GGA-PBE.

Results
calculated formation energy	0.7242	eV/atom
V	248.8	Å³ per cell
relative energy among the computed polymorphs	0.665	eV per atom
DOS at the Fermi energy	5.58	states/eV/f.u.

Geometry as POSCAR:
```
Sr3LaHg
1.0
-4.676 3.285 2.628
-0.997 -4.682 4.080
4.087 2.617 4.001
Sr Hg La
3 1 1
Direct
0.500 0.000 0.000 Sr
0.000 0.500 0.000 Sr
0.000 0.000 0.500 Sr
0.500 0.500 0.500 Hg
0.000 0.000 0.000 La
```

La2PrHoEr5 after structural relaxation. Source: Alexandria via LeMat-Bulk, functional GGA-PBE.

Results
calculated formation energy	0.2562	eV/atom
V	592.0	Å³ per cell
DOS at the Fermi energy	11.70	states/eV/f.u.

Geometry as POSCAR:
```
La2PrHoEr5
1.0
8.694 0.000 0.000
0.000 8.694 0.000
-4.347 -4.347 7.832
Er La Ho Pr
10 4 2 2
Direct
0.645 0.145 0.719 Er
0.926 0.426 0.281 Er
0.855 0.926 0.281 Er
0.426 0.355 0.281 Er
0.500 0.500 0.000 Er
0.074 0.574 0.719 Er
0.574 0.645 0.719 Er
0.000 0.000 0.000 Er
0.355 0.855 0.281 Er
0.145 0.074 0.719 Er
0.883 0.617 0.000 La
0.383 0.883 0.000 La
0.617 0.117 0.000 La
0.117 0.383 0.000 La
0.250 0.750 0.500 Ho
0.750 0.250 0.500 Ho
0.250 0.250 0.500 Pr
0.750 0.750 0.500 Pr
```

Be2Si after structural relaxation. Source: Alexandria via LeMat-Bulk, functional GGA-PBE.

Results
V	145.3	Å³ per cell
relative energy among the computed polymorphs	0.000	eV per atom
DOS at the Fermi energy	0.63	states/eV/f.u.

Geometry as POSCAR:
```
Be2Si
1.0
-2.062 -4.442 4.155
2.378 -2.382 -1.367
5.641 4.852 1.358
Be Si
8 4
Direct
0.852 0.500 0.661 Be
0.527 0.500 0.658 Be
0.473 0.000 0.842 Be
0.473 0.500 0.342 Be
0.148 0.000 0.839 Be
0.527 0.000 0.158 Be
0.852 0.000 0.161 Be
0.148 0.500 0.339 Be
0.794 0.000 0.817 Si
0.206 0.000 0.183 Si
0.206 0.500 0.683 Si
0.794 0.500 0.317 Si
```

TlHg2BSb after structural relaxation. Source: Alexandria via LeMat-Bulk, functional GGA-PBE.

Results
V	144.0	Å³ per cell
raw total energy	-1.678	eV/atom
DOS at the Fermi energy	3.52	states/eV/f.u.

Geometry as POSCAR:
```
TlHg2BSb
1.0
5.912 0.000 0.000
0.000 4.120 0.000
0.000 0.000 5.912
Sb Hg B Tl
1 2 1 1
Direct
0.500 0.500 0.500 Sb
0.500 0.000 0.000 Hg
0.000 0.000 0.500 Hg
0.000 0.500 0.000 B
0.000 0.000 0.000 Tl
```

IrPdAu after structural relaxation. Source: Alexandria via LeMat-Bulk, functional GGA-PBE.

Results
calculated formation energy	0.1693	eV/atom
V	97.1	Å³ per cell
relative energy among the computed polymorphs	0.000	eV per atom
DOS at the Fermi energy	2.83	states/eV/f.u.

Geometry as POSCAR:
```
IrPdAu
1.0
-1.382 1.497 2.689
-3.068 -0.436 -1.334
-0.617 -7.560 3.892
Au Ir Pd
2 2 2
Direct
0.127 0.127 0.563 Au
0.627 0.627 0.744 Au
0.627 0.627 0.086 Ir
0.127 0.127 0.221 Ir
0.627 0.627 0.394 Pd
0.127 0.127 0.913 Pd
```

LaSm3Er2 after structural relaxation. Source: Alexandria via LeMat-Bulk, functional GGA-PBE.

Results
calculated formation energy	0.3192	eV/atom
V	204.5	Å³ per cell
DOS at the Fermi energy	11.29	states/eV/f.u.

Geometry as POSCAR:
```
LaSm3Er2
1.0
-0.900 2.577 -2.161
0.442 -3.718 -4.617
-9.288 -1.868 4.442
Er La Sm
2 1 3
Direct
0.362 0.362 0.724 Er
0.638 0.638 0.276 Er
0.000 0.000 0.000 La
0.193 0.193 0.387 Sm
0.807 0.807 0.613 Sm
0.000 0.500 0.000 Sm
```

AsP2Au after structural relaxation. Source: Alexandria via LeMat-Bulk, functional GGA-PBE.

Results
calculated formation energy	0.4861	eV/atom
V	74.3	Å³ per cell
DOS at the Fermi energy	1.83	states/eV/f.u.

Geometry as POSCAR:
```
AsP2Au
1.0
-2.549 -1.690 0.018
2.445 -1.016 -1.530
2.896 -4.288 7.473
P Au As
2 1 1
Direct
0.500 0.500 0.202 P
0.000 0.000 0.032 P
0.500 0.500 0.754 Au
0.000 0.000 0.512 As
```

Zr2TaSi2 after structural relaxation. Source: Alexandria via LeMat-Bulk, functional GGA-PBE.

Results
V	186.4	Å³ per cell
relative energy among the computed polymorphs	0.831	eV per atom
DOS at the Fermi energy	5.08	states/eV/f.u.

Geometry as POSCAR:
```
Zr2TaSi2
1.0
-3.531 2.179 -6.765
5.527 -3.907 -4.144
-1.666 -2.444 0.082
Si Ta Zr
4 2 4
Direct
0.169 0.669 0.500 Si
0.331 0.169 0.500 Si
0.831 0.331 0.500 Si
0.669 0.831 0.500 Si
0.500 0.500 0.000 Ta
0.000 0.000 0.000 Ta
0.132 0.368 0.000 Zr
0.632 0.132 0.000 Zr
0.368 0.868 0.000 Zr
0.868 0.632 0.000 Zr
```

Ce5Ge2C after structural relaxation. Source: Alexandria via LeMat-Bulk, functional GGA-PBE.

Results
calculated formation energy	-0.3099	eV/atom
V	372.1	Å³ per cell
DOS at the Fermi energy	19.04	states/eV/f.u.

Geometry as POSCAR:
```
Ce5Ge2C
1.0
-1.763 -3.771 3.168
0.441 -1.044 -5.316
13.985 -4.778 2.098
Ce C Ge
10 2 4
Direct
0.417 0.835 0.378 Ce
0.083 0.166 0.122 Ce
0.917 0.834 0.878 Ce
0.750 0.500 0.250 Ce
0.583 0.165 0.878 Ce
0.417 0.835 0.122 Ce
0.583 0.165 0.622 Ce
0.917 0.834 0.622 Ce
0.083 0.166 0.378 Ce
0.250 0.500 0.750 Ce
0.250 0.500 0.250 C
0.750 0.500 0.750 C
0.250 0.500 0.557 Ge
0.750 0.500 0.057 Ge
0.250 0.500 0.943 Ge
0.750 0.500 0.443 Ge
```

LaTbGdSc after structural relaxation. Source: Alexandria via LeMat-Bulk, functional GGA-PBE.

Results
calculated formation energy	0.1006	eV/atom
V	126.2	Å³ per cell
DOS at the Fermi energy	6.76	states/eV/f.u.

Geometry as POSCAR:
```
LaTbGdSc
1.0
5.631 0.000 0.000
2.815 4.876 0.000
2.815 1.625 4.597
La Sc Tb Gd
1 1 1 1
Direct
0.750 0.750 0.750 La
0.000 0.000 0.000 Sc
0.500 0.500 0.500 Tb
0.250 0.250 0.250 Gd
```

TbPaNi17 after structural relaxation. Source: Alexandria via LeMat-Bulk, functional GGA-PBE.

Results
calculated formation energy	-0.2180	eV/atom
V	237.8	Å³ per cell
DOS at the Fermi energy	25.42	states/eV/f.u.

Geometry as POSCAR:
```
TbPaNi17
1.0
-0.676 -1.732 -5.957
5.705 -2.415 -0.754
-1.530 -5.950 1.095
Ni Tb Pa
17 1 1
Direct
0.002 0.295 0.702 Ni
0.103 0.103 0.103 Ni
0.345 0.345 0.848 Ni
0.345 0.848 0.345 Ni
0.651 0.159 0.651 Ni
0.702 0.002 0.295 Ni
0.651 0.651 0.159 Ni
0.702 0.295 0.002 Ni
0.848 0.345 0.345 Ni
0.997 0.502 0.997 Ni
0.295 0.002 0.702 Ni
0.903 0.903 0.903 Ni
0.002 0.702 0.295 Ni
0.997 0.997 0.502 Ni
0.295 0.702 0.002 Ni
0.159 0.651 0.651 Ni
0.502 0.997 0.997 Ni
0.662 0.662 0.662 Tb
0.337 0.337 0.337 Pa
```

LaMn2NbIn after structural relaxation. Source: Alexandria via LeMat-Bulk, functional GGA-PBE.

Results
calculated formation energy	1.7703	eV/atom
V	102.5	Å³ per cell
DOS at the Fermi energy	16.75	states/eV/f.u.

Geometry as POSCAR:
```
LaMn2NbIn
1.0
-0.378 1.450 4.224
-0.344 -4.824 1.625
4.456 -0.165 0.455
Mn La Nb In
2 1 1 1
Direct
0.000 0.000 0.500 Mn
0.500 0.000 0.000 Mn
0.000 0.000 0.000 La
0.000 0.500 0.000 Nb
0.500 0.500 0.500 In
```